## 1
First-principles (PBEsol) data for a geometry-optimized SbMoCl structure, as listed in Alexandria.

The structure belongs to space group P3m1 (No. 156); the cell edges are 3.2124, 3.2124 and 7.2539 Å and the angles 90.00°, 90.00° and 120.00°. The asymmetric unit holds Sb at (0.0000, 0.0000, 0.0000), Mo at (0.6667, 0.3333, 0.2866) and Cl at (0.3333, 0.6667, 0.5039).



## 2
First-principles (PBEsol) data for a geometry-optimized SbMoCl structure, as listed in Alexandria.

The structure belongs to space group P-6m2 (No. 187); the cell edges are 4.4446, 4.4446 and 3.1343 Å and the angles 90.00°, 90.00° and 120.00°. The asymmetric unit holds Sb at (0.0000, 0.0000, 0.0000), Mo at (0.3333, 0.6667, 0.5000) and Cl at (0.6667, 0.3333, 0.5000).



Energy relative to the most stable one, in meV per atom: 1 0; 2 444



## 1
First-principles (PBEsol) data for a geometry-optimized MoSe2Cl structure, as listed in Alexandria.

The structure belongs to space group Imm2 (No. 44); the cell edges are 3.124, 4.472 and 12.258 Å and the angles 90.00°, 90.00° and 90.00°. The asymmetric unit holds Mo at (0.000, 0.000, 0.000), Se at (0.000, 0.000, 0.533), Se at (0.000, 0.500, 0.659) and Cl at (0.000, 0.500, 0.342).



## 2
First-principles (PBEsol) data for a geometry-optimized MoSe2Cl structure, as listed in Alexandria.

The structure belongs to space group P4mm (No. 99); the cell edges are 3.345, 3.345 and 7.087 Å and the angles 90.00°, 90.00° and 90.00°. The asymmetric unit holds Mo at (0.000, 0.000, 0.000), Se at (0.000, 0.000, 0.358), Se at (0.500, 0.500, 0.158) and Cl at (0.500, 0.500, 0.757).



## 3
First-principles (PBEsol) data for a geometry-optimized MoSe2Cl structure, as listed in Alexandria.

The structure belongs to space group R-3m (No. 166, hexagonal axes); the cell edges are 3.2995, 3.2995 and 23.5958 Å and the angles 90.00°, 90.00° and 120.00°. The asymmetric unit holds Mo at (0.0000, 0.0000, 0.0000), Se at (0.0000, 0.0000, 0.2618) and Cl at (0.0000, 0.0000, 0.5000).



Energy relative to the most stable one, in meV per atom: 1 223; 2 442; 3 0